Record 1
RbTl2Br2 | Alexandria | GGA-PBE | relaxed; formation energy from raw total energies = -0.75 eV per atom; excess energy over the best structure of this formula in the dataset = 146.5 meV per atom; DOS(E_F) = 2.48 states/eV/f.u.; total moment = 0.00 μB per formula unit
1.0
8.804 0.000 0.000
0.000 8.804 0.000
0.000 0.000 4.991
Rb Tl Br
2 4 4
Direct
0.000 0.000 0.000
0.500 0.500 0.000
0.153 0.347 0.500
0.347 0.847 0.500
0.653 0.153 0.500
0.847 0.653 0.500
0.157 0.657 0.000
0.343 0.157 0.000
0.657 0.843 0.000
0.843 0.343 0.000

Record 2
Rb2Tl2Br7 | Alexandria | GGA-PBE | relaxed; formation energy from raw total energies = -0.95 eV per atom; excess energy over the best structure of this formula in the dataset = 2.2 meV per atom; DOS(E_F) = 4.30 states/eV/f.u.; total moment = 0.00 μB per formula unit
1.0
5.741 -7.003 0.000
5.741 7.003 0.000
-1.336 0.000 6.718
Rb Tl Br
2 2 7
Direct
0.212 0.788 0.000
0.788 0.212 0.000
0.269 0.269 0.579
0.731 0.731 0.421
0.089 0.412 0.789
0.100 0.100 0.244
0.412 0.089 0.789
0.500 0.500 0.500
0.588 0.911 0.211
0.900 0.900 0.756
0.911 0.588 0.211

Record 3
RbTl6Br8 | Alexandria | GGA-PBE | relaxed; formation energy from raw total energies = -0.87 eV per atom; excess energy over the best structure of this formula in the dataset = 7.8 meV per atom; DOS(E_F) = 12.55 states/eV/f.u.; total moment = 0.00 μB per formula unit
1.0
6.867 3.965 3.749
-6.867 3.965 3.749
0.000 -7.929 3.749
Rb Tl Br
1 6 8
Direct
0.000 0.000 0.000
0.098 0.555 0.306
0.306 0.098 0.555
0.445 0.694 0.902
0.555 0.306 0.098
0.694 0.902 0.445
0.902 0.445 0.694
0.155 0.781 0.671
0.219 0.329 0.845
0.320 0.320 0.320
0.329 0.845 0.219
0.671 0.155 0.781
0.680 0.680 0.680
0.781 0.671 0.155
0.845 0.219 0.329

Record 4
RbTl3Br6 | Alexandria | GGA-PBE | relaxed; formation energy from raw total energies = -0.89 eV per atom; total moment = 0.00 μB per formula unit
1.0
7.804 0.000 0.000
0.000 8.893 0.000
-7.110 0.000 11.365
Rb Tl Br
2 6 12
Direct
0.000 0.000 0.000
0.000 0.500 0.500
0.201 0.058 0.723
0.201 0.442 0.223
0.500 0.000 0.500
0.500 0.500 0.000
0.799 0.558 0.777
0.799 0.942 0.277
0.166 0.162 0.472
0.166 0.338 0.972
0.245 0.748 0.399
0.245 0.752 0.899
0.411 0.095 0.279
0.411 0.405 0.779
0.589 0.595 0.221
0.589 0.905 0.721
0.755 0.248 0.101
0.755 0.252 0.601
0.834 0.662 0.028
0.834 0.838 0.528

Record 5
RbTl2Br2 | Alexandria | GGA-PBE | relaxed; formation energy from raw total energies = -0.90 eV per atom; excess energy over the best structure of this formula in the dataset = 0.0 meV per atom; DOS(E_F) = 0.96 states/eV/f.u.; total moment = 0.00 μB per formula unit
1.0
-2.254 2.254 9.250
2.254 -2.254 9.250
2.254 2.254 -9.250
Rb Tl Br
1 2 2
Direct
0.000 0.000 0.000
0.250 0.750 0.500
0.750 0.250 0.500
0.396 0.396 0.000
0.604 0.604 0.000

Record 6
Rb3Tl2Br6 | Alexandria | GGA-PBE | relaxed; formation energy from raw total energies = -1.23 eV per atom; DOS(E_F) = 3.81 states/eV/f.u.; total moment = 0.00 μB per formula unit
1.0
-2.992 2.992 13.458
2.992 -2.992 13.458
2.992 2.992 -13.458
Rb Tl Br
3 2 6
Direct
0.000 0.000 0.000
0.173 0.173 0.000
0.827 0.827 0.000
0.406 0.406 0.000
0.594 0.594 0.000
0.081 0.581 0.500
0.298 0.298 0.000
0.419 0.919 0.500
0.581 0.081 0.500
0.702 0.702 0.000
0.919 0.419 0.500

Record 7
Rb2TlBr2 | Alexandria | GGA-PBE | relaxed; formation energy from raw total energies = -1.16 eV per atom; excess energy over the best structure of this formula in the dataset = 0.0 meV per atom; DOS(E_F) = 1.83 states/eV/f.u.; total moment = 0.00 μB per formula unit
1.0
9.498 0.000 0.000
0.000 9.498 0.000
0.000 0.000 4.324
Rb Tl Br
4 2 4
Direct
0.150 0.350 0.000
0.350 0.850 0.000
0.650 0.150 0.000
0.850 0.650 0.000
0.000 0.000 0.500
0.500 0.500 0.500
0.152 0.652 0.500
0.348 0.152 0.500
0.652 0.848 0.500
0.848 0.348 0.500

Record 8
Rb2TmTlBr6 | Alexandria | GGA-PBE | relaxed; formation energy from raw total energies = -1.66 eV per atom; DOS(E_F) = 0.00 states/eV/f.u.; total moment = 0.00 μB per formula unit
1.0
8.035 0.000 0.000
0.000 8.511 0.000
-7.988 0.000 11.570
Rb Tm Tl Br
4 2 2 12
Direct
0.223 0.076 0.250
0.223 0.424 0.750
0.777 0.576 0.250
0.777 0.924 0.750
0.500 0.000 0.000
0.500 0.500 0.500
0.000 0.000 0.500
0.000 0.500 0.000
0.166 0.176 0.947
0.166 0.324 0.447
0.272 0.725 0.940
0.272 0.775 0.440
0.385 0.035 0.774
0.385 0.465 0.274
0.615 0.535 0.726
0.615 0.965 0.226
0.728 0.225 0.560
0.728 0.275 0.060
0.834 0.676 0.553
0.834 0.824 0.053

Record 9
RbTmTl2Br6 | Alexandria | GGA-PBE | relaxed; formation energy from raw total energies = -1.46 eV per atom; DOS(E_F) = 0.00 states/eV/f.u.; total moment = 0.00 μB per formula unit
1.0
8.185 0.000 0.000
-4.088 7.105 0.000
-4.092 -2.360 7.069
Rb Tm Tl Br
1 1 2 6
Direct
0.000 0.000 0.000
0.981 0.490 0.471
0.576 0.288 0.862
0.596 0.799 0.393
0.082 0.400 0.225
0.085 0.260 0.684
0.424 0.824 0.684
0.545 0.145 0.225
0.824 0.680 0.224
0.859 0.600 0.684

Record 10
RbUTlBr6 | Alexandria | GGA-PBE | relaxed; formation energy from raw total energies = -1.35 eV per atom; DOS(E_F) = 5.19 states/eV/f.u.; total moment = 2.00 μB per formula unit
1.0
8.153 0.000 0.000
-4.076 7.060 0.000
0.000 0.000 13.930
Rb U Tl Br
2 2 2 12
Direct
0.000 0.000 0.000
0.000 0.000 0.500
0.333 0.667 0.250
0.667 0.333 0.750
0.333 0.667 0.750
0.667 0.333 0.250
0.051 0.391 0.134
0.051 0.660 0.366
0.340 0.391 0.366
0.340 0.949 0.134
0.391 0.051 0.634
0.391 0.340 0.866
0.609 0.660 0.134
0.609 0.949 0.366
0.660 0.051 0.866
0.660 0.609 0.634
0.949 0.340 0.634
0.949 0.609 0.866

Record 11
RbU2TlBr8 | Alexandria | GGA-PBE | relaxed; formation energy from raw total energies = -1.21 eV per atom; DOS(E_F) = 3.22 states/eV/f.u.; total moment = 6.00 μB per formula unit
1.0
8.023 0.000 0.000
-4.012 6.948 0.000
0.000 0.000 8.675
Rb U Tl Br
1 2 1 8
Direct
0.000 0.000 0.000
0.333 0.667 0.416
0.667 0.333 0.584
0.000 0.000 0.500
0.058 0.389 0.658
0.332 0.942 0.658
0.333 0.667 0.092
0.389 0.332 0.342
0.611 0.668 0.658
0.667 0.333 0.908
0.668 0.058 0.342
0.942 0.611 0.342

Record 12
RbUTl2Br8 | Alexandria | GGA-PBE | relaxed; formation energy from raw total energies = -1.19 eV per atom; total moment = 0.99 μB per formula unit
1.0
7.219 0.000 0.000
0.249 7.751 0.000
0.002 0.021 9.926
Rb U Tl Br
1 1 2 8
Direct
0.000 0.000 0.000
0.000 0.000 0.500
0.500 0.498 0.228
0.500 0.502 0.772
0.134 0.210 0.306
0.137 0.209 0.693
0.317 0.810 0.499
0.382 0.739 0.001
0.618 0.261 0.999
0.683 0.190 0.501
0.863 0.791 0.307
0.866 0.790 0.694

Which of these has the highest total moment? RbU2TlBr8

formation energy from raw total energies of number 6 (Rb3Tl2Br6)? -1.23 eV per atom